This record from the Alexandria database describes a relaxed structure of HoGa2Ru. The functional is PBE-GGA.

Properties
electronic total energy	-5.48	eV/atom
M_tot	0.00	μB/atom
mass density	8.91	g cm⁻³

Cell: 4.229 4.229 5.455 Å, 67.19 67.19 60.00°
Fractional coordinates of all 4 atoms:
Ru1 0.000 0.000 0.000
Ho1 0.500 0.500 0.500
Ga1 0.717 0.717 0.849
Ga2 0.283 0.283 0.151

This record from the Alexandria database describes a relaxed structure of SmTh4P6. The functional is PBE-GGA.

Properties
electronic total energy	-7.34	eV/atom
M_tot	0.00	μB/atom
mass density	7.93	g cm⁻³

Cell: 8.091 8.091 8.091 Å, 90.37 90.37 89.63°
Fractional coordinates of all 22 atoms:
Sm1 0.500 0.500 0.500
Sm2 0.000 0.000 0.000
Th1 0.368 0.132 0.250
Th2 0.868 0.250 0.368
Th3 0.250 0.632 0.132
Th4 0.250 0.250 0.750
Th5 0.750 0.750 0.250
Th6 0.750 0.368 0.868
Th7 0.132 0.750 0.632
Th8 0.632 0.868 0.750
P1 0.676 0.065 0.086
P2 0.086 0.324 0.065
P3 0.586 0.435 0.176
P4 0.935 0.086 0.676
P5 0.565 0.176 0.586
P6 0.176 0.414 0.435
P7 0.824 0.586 0.565
P8 0.435 0.824 0.414
P9 0.065 0.914 0.324
P10 0.414 0.565 0.824
P11 0.914 0.676 0.935
P12 0.324 0.935 0.914

This record from the Alexandria database describes a relaxed structure of Sm5ErTl2. The functional is PBE-GGA.

Properties
electronic total energy	-4.21	eV/atom
distance to the lowest polymorph of the same formula	0.000	eV per atom
M_tot	0.00	μB/atom
mass density	8.85	g cm⁻³

Cell: 3.652 8.495 8.495 Å, 79.85 77.59 77.59°
Fractional coordinates of all 8 atoms:
Sm1 0.000 0.500 0.500
Sm2 0.637 0.587 0.140
Sm3 0.363 0.413 0.860
Sm4 0.363 0.860 0.413
Sm5 0.637 0.140 0.587
Er1 0.000 0.000 0.000
Tl1 0.727 0.773 0.773
Tl2 0.273 0.227 0.227

This record from the Alexandria database describes a relaxed structure of Ce5Co3. The functional is PBE-GGA.

Properties
electronic total energy	-6.52	eV/atom
M_tot	0.00	μB/atom
mass density	8.45	g cm⁻³

Cell: 8.324 7.664 10.812 Å, 89.99 90.00 90.00°
Fractional coordinates of all 32 atoms:
Ce1 0.369 0.250 0.327
Ce2 0.869 0.750 0.173
Ce3 0.631 0.750 0.673
Ce4 0.131 0.250 0.827
Ce5 0.793 0.250 0.196
Ce6 0.293 0.750 0.304
Ce7 0.207 0.750 0.804
Ce8 0.707 0.250 0.696
Ce9 0.525 0.250 0.011
Ce10 0.025 0.750 0.489
Ce11 0.475 0.750 0.989
Ce12 0.975 0.250 0.511
Ce13 0.171 0.049 0.111
Ce14 0.671 0.951 0.389
Ce15 0.829 0.549 0.889
Ce16 0.329 0.451 0.611
Ce17 0.829 0.951 0.889
Ce18 0.329 0.049 0.611
Ce19 0.171 0.451 0.111
Ce20 0.671 0.549 0.389
Co1 0.592 0.250 0.482
Co2 0.092 0.750 0.018
Co3 0.408 0.750 0.518
Co4 0.908 0.250 0.982
Co5 0.054 0.432 0.310
Co6 0.554 0.568 0.190
Co7 0.946 0.932 0.689
Co8 0.446 0.068 0.811
Co9 0.946 0.568 0.690
Co10 0.446 0.432 0.810
Co11 0.054 0.068 0.311
Co12 0.554 0.932 0.189

This record from the Alexandria database describes a relaxed structure of CePrEr2. The functional is PBE-GGA.

Properties
electronic total energy	-4.90	eV/atom
distance to the lowest polymorph of the same formula	0.000	eV per atom
M_tot	0.14	μB/atom
mass density	8.11	g cm⁻³

Cell: 3.555 3.555 11.702 Å, 81.26 81.26 60.00°
Fractional coordinates of all 4 atoms:
Ce1 0.666 0.666 0.001
Pr1 0.501 0.501 0.498
Er1 0.080 0.080 0.759
Er2 0.253 0.253 0.242

This record from the Alexandria database describes a relaxed structure of Er4TeRh2. The functional is PBE-GGA.

Properties
electronic total energy	-5.94	eV/atom
M_tot	0.00	μB/atom
mass density	7.84	g cm⁻³

Cell: 8.439 8.439 8.431 Å, 119.96 119.97 90.07°
Fractional coordinates of all 14 atoms:
Er1 0.856 0.145 0.289
Er2 0.394 0.605 0.211
Er3 0.856 0.566 0.711
Er4 0.855 0.144 0.711
Er5 0.434 0.144 0.289
Er6 0.394 0.184 0.789
Er7 0.395 0.606 0.789
Er8 0.816 0.606 0.211
Te1 0.250 0.750 0.500
Te2 0.000 0.000 0.000
Rh1 0.625 0.375 0.750
Rh2 0.625 0.875 0.250
Rh3 0.625 0.375 0.250
Rh4 0.125 0.375 0.750